[1]
First-principles (PBE) data for crystalline Dy2Y7Sc2 at its relaxed geometry, as listed in the Alexandria database.

The structure in POSCAR format:
```
Dy2Y7Sc2
1.0
9.655 -1.781 0.000
9.655 1.781 0.000
-5.904 0.000 10.080
Dy Y Sc
2 7 2
Cartesian
-1.595 0.000 2.868
15.001 0.000 7.212
-0.840 0.000 6.305
2.663 0.000 6.296
5.931 0.000 0.979
9.655 0.000 0.000
7.475 0.000 9.101
10.743 0.000 3.784
14.246 0.000 3.775
2.649 0.000 1.542
10.757 0.000 8.538
```

Output
energy relative to the elements = 0.126 eV per atom
total moment = 0.0 μB/f.u.

=====

[2]
First-principles (PBE) data for crystalline Dy3Y5Sc2 at its relaxed geometry, as listed in the Alexandria database.

The structure in POSCAR format:
```
Dy3Y5Sc2
1.0
5.304 -7.942 0.000
5.304 7.942 0.000
-5.294 0.000 7.460
Dy Y Sc
6 10 4
Cartesian
1.341 2.037 0.360
1.334 4.457 5.595
-1.306 -2.037 4.090
6.620 2.037 3.370
3.981 -4.457 1.865
3.973 -2.037 7.100
1.334 7.588 5.595
-1.283 2.212 5.531
3.981 3.473 1.865
1.364 -2.212 1.801
3.981 0.280 1.865
1.334 -0.280 5.595
3.950 2.212 5.659
1.334 -3.473 5.595
6.597 -2.212 1.929
3.981 -7.588 1.865
1.342 2.134 3.387
-1.306 -2.134 7.117
6.620 2.134 0.343
3.973 -2.134 4.073
```

Output
energy relative to the elements = 0.190 eV per atom
total moment = 0.0 μB/f.u.

=====

- total moment of number 1 (Dy2Y7Sc2)?
  0.0 μB/f.u.